[1]
Here is Sm5Te4Ir after structural relaxation from Alexandria. Energies are from PBE-GGA.

Summary:
Its magnetization is 0.00 μB/cell. As for the total energy: -5.74 eV per atom. Its density of states at the Fermi level is 0.503 states/eV/atom. Its energy above the most stable polymorph in this dataset is 22.7 meV/atom. For the uncorrected formation energy, the calculation gives -1.2395 eV/atom.

Lattice parameters (Å, degrees): 4.352 4.352 31.672 90.00 90.00 90.00
Space group I4/mmm (No. 139)
Inequivalent atoms, fractional coordinates:
Sm 0.000 0.000 0.000 x2
Sm 0.000 0.000 0.209 x4
Sm 0.000 0.000 0.416 x4
Te 0.000 0.000 0.104 x4
Te 0.000 0.000 0.309 x4
Ir 0.000 0.000 0.500 x2



[2]
Here is RbHfPb3 after structural relaxation from Alexandria. Energies are from PBE-GGA.

Summary:
Its magnetization is 0.00 μB/cell. As for the total energy: -2.76 eV per atom. Its density of states at the Fermi level is 1.881 states/eV/atom. Its energy above the most stable polymorph in this dataset is 1600.4 meV/atom. The energy of formation from the pure elements comes out at 1.6464 eV/atom.

Lattice parameters (Å, degrees): 5.868 5.868 5.868 90.00 90.00 90.00
Space group Pm-3m (No. 221)
Inequivalent atoms, fractional coordinates:
Rb 0.000 0.000 0.000 x1
Hf 0.500 0.500 0.500 x1
Pb 0.000 0.000 0.500 x3



[3]
Here is LaTaI2 after structural relaxation from Alexandria. Energies are from PBE-GGA.

Summary:
Its magnetization is 0.00 μB/cell. As for the total energy: -4.64 eV per atom. Its density of states at the Fermi level is 1.888 states/eV/atom. Its energy above the most stable polymorph in this dataset is 49.3 meV/atom. For the uncorrected formation energy, the calculation gives 0.3257 eV/atom.

Lattice parameters (Å, degrees): 5.133 5.133 19.583 90.00 90.00 90.00
Space group I-42d (No. 122)
Inequivalent atoms, fractional coordinates:
La 0.000 0.000 0.000 x4
Ta 0.000 0.000 0.500 x4
I 0.220 0.250 0.625 x8



[4]
Here is CeSnP2 after structural relaxation from Alexandria. Energies are from PBE-GGA.

Summary:
Its magnetization is 2.32 μB/cell. As for the total energy: -5.00 eV per atom. Its density of states at the Fermi level is 1.679 states/eV/atom. Its energy above the most stable polymorph in this dataset is 851.0 meV/atom. The energy of formation from the pure elements comes out at 0.1848 eV/atom.

Lattice parameters (Å, degrees): 3.8286 3.8286 25.5758 90.00 90.00 120.00
Space group R-3m (No. 166, hexagonal axes)
Inequivalent atoms, fractional coordinates:
Ce 0.0000 0.0000 0.0000 x3
Sn 0.0000 0.0000 0.5000 x3
P 0.0000 0.0000 0.1073 x6



[5]
Here is CaP2Pd6 after structural relaxation from Alexandria. Energies are from PBE-GGA.

Summary:
Its magnetization is 0.00 μB/cell. As for the total energy: -5.44 eV per atom. Its density of states at the Fermi level is 0.762 states/eV/atom. Its energy above the most stable polymorph in this dataset is 0.0 meV/atom. The energy of formation from the pure elements comes out at -0.5562 eV/atom.

Lattice parameters (Å, degrees): 4.109 4.109 8.577 90.00 90.00 90.00
Space group P4/mmm (No. 123)
Inequivalent atoms, fractional coordinates:
Ca 0.000 0.000 0.000 x1
P 0.500 0.500 0.130 x2
Pd 0.000 0.000 0.500 x1
Pd 0.000 0.500 0.271 x4
Pd 0.500 0.500 0.500 x1



[6]
Here is Os5Ru3 after structural relaxation from Alexandria. Energies are from PBE-GGA.

Summary:
Its magnetization is 0.00 μB/cell. As for the total energy: -10.50 eV per atom. Its density of states at the Fermi level is 0.765 states/eV/atom. Its energy above the most stable polymorph in this dataset is 0.0 meV/atom. The energy of formation from the pure elements comes out at -0.0001 eV/atom.

Lattice parameters (Å, degrees): 2.743 4.341 9.495 90.00 90.00 90.00
Space group Pmm2 (No. 25)
Inequivalent atoms, fractional coordinates:
Os 0.000 0.000 0.000 x1
Os 0.000 0.000 0.498 x1
Os 0.000 0.500 0.833 x1
Os 0.500 0.000 0.750 x1
Os 0.500 0.500 0.582 x1
Ru 0.000 0.500 0.332 x1
Ru 0.500 0.000 0.250 x1
Ru 0.500 0.500 0.083 x1



[7]
Here is Ca4Pb3 after structural relaxation from Alexandria. Energies are from PBE-GGA.

Summary:
Its magnetization is 0.00 μB/cell. As for the total energy: -3.17 eV per atom. Its density of states at the Fermi level is 0.905 states/eV/atom. The energy of formation from the pure elements comes out at -0.4389 eV/atom.

Lattice parameters (Å, degrees): 5.5058 5.5058 26.7565 90.00 90.00 120.00
Space group R-3m (No. 166, hexagonal axes)
Inequivalent atoms, fractional coordinates:
Ca 0.0000 0.0000 0.1224 x6
Ca 0.0000 0.0000 0.3745 x6
Pb 0.0000 0.0000 0.2518 x6
Pb 0.0000 0.0000 0.5000 x3



[8]
Here is Pm2AuF8 after structural relaxation from Alexandria. Energies are from PBE-GGA.

Summary:
Its magnetization is 2.00 μB/cell. As for the total energy: -5.70 eV per atom. For the uncorrected formation energy, the calculation gives -3.1772 eV/atom.

Lattice parameters (Å, degrees): 7.478 11.334 4.354 90.00 101.30 90.00
Space group C2/m (No. 12)
Inequivalent atoms, fractional coordinates:
Pm 0.000 0.167 0.000 x4
Au 0.000 0.500 0.000 x2
F 0.000 0.227 0.500 x4
F 0.118 0.000 0.263 x4
F 0.184 0.353 0.058 x8



[9]
Here is YMoN3 after structural relaxation from Alexandria. Energies are from PBE-GGA.

Summary:
Its magnetization is 0.00 μB/cell. As for the total energy: -9.20 eV per atom. Its density of states at the Fermi level is 0.000 states/eV/atom. For the uncorrected formation energy, the calculation gives -0.7433 eV/atom.

Lattice parameters (Å, degrees): 5.4887 5.4887 15.1069 90.00 90.00 120.00
Space group R-3 (No. 148, hexagonal axes)
Inequivalent atoms, fractional coordinates:
Y 0.0000 0.0000 0.1357 x6
Mo 0.0000 0.0000 0.3607 x6
N 0.0053 0.6076 0.9206 x18



[10]
Here is Nd5Dy2Bi4 after structural relaxation from Alexandria. Energies are from PBE-GGA.

Summary:
Its magnetization is 0.00 μB/cell. As for the total energy: -4.71 eV per atom. Its density of states at the Fermi level is 1.121 states/eV/atom. The energy of formation from the pure elements comes out at -0.2972 eV/atom.

Lattice parameters (Å, degrees): 25.922 3.497 8.334 90.00 91.95 90.00
Space group C2/m (No. 12)
Inequivalent atoms, fractional coordinates:
Nd 0.000 0.000 0.000 x2
Nd 0.150 0.500 0.981 x4
Nd 0.178 0.500 0.496 x4
Dy 0.052 0.500 0.668 x4
Bi 0.069 0.500 0.289 x4
Bi 0.236 0.000 0.215 x4



[11]
Here is ReMo3Br after structural relaxation from Alexandria. Energies are from PBE-GGA.

Summary:
Its magnetization is 0.00 μB/cell. As for the total energy: -7.45 eV per atom. Its density of states at the Fermi level is 1.697 states/eV/atom. Its energy above the most stable polymorph in this dataset is 0.0 meV/atom. For the uncorrected formation energy, the calculation gives 1.8775 eV/atom.

Lattice parameters (Å, degrees): 4.817 4.817 4.817 90.00 90.00 90.00
Space group Pm-3m (No. 221)
Inequivalent atoms, fractional coordinates:
Re 0.000 0.000 0.000 x1
Mo 0.000 0.000 0.500 x3
Br 0.500 0.500 0.500 x1



[12]
Here is RbGaClF3 after structural relaxation from Alexandria. Energies are from PBE-GGA.

Summary:
Its magnetization is 0.00 μB/cell. As for the total energy: -4.09 eV per atom. Its density of states at the Fermi level is 0.000 states/eV/atom. For the uncorrected formation energy, the calculation gives -2.1807 eV/atom.

Lattice parameters (Å, degrees): 6.675 16.496 5.478 90.00 125.11 90.00
Space group C2/c (No. 15)
Inequivalent atoms, fractional coordinates:
Rb 0.000 0.173 0.250 x4
Ga 0.000 0.453 0.750 x4
Cl 0.000 0.092 0.750 x4
F 0.000 0.342 0.750 x4
F 0.154 0.455 0.534 x8